NaPb4F10 (GGA-PBE, relaxed); energy relative to the elements, uncorrected = -2.332 eV/atom; symmetry = R-3m; Fermi-level density of states = 0.546 states/eV per atom; calculated volume = 254.30 Å³ per cell
1.0
4.153 0.000 0.510
2.045 3.615 0.510
0.026 0.015 16.943
Na Pb F
1 4 10
Cartesian
0.000 0.000 0.000
2.468 1.439 14.222
4.966 2.896 11.053
1.259 0.734 6.911
3.756 2.190 3.742
5.889 3.434 3.542
0.944 0.550 9.473
3.430 2.000 6.395
2.198 1.282 16.418
4.641 2.706 13.695
4.026 2.348 1.546
5.281 3.079 8.491
1.583 0.923 4.269
0.336 0.196 14.422
2.794 1.630 11.569